1.
Here is a relaxed K3CaAg2Cl9 crystal from the Alexandria database. Energies are from PBE-GGA.

The structure belongs to space group P-3m1 (No. 164); the cell edges are 7.3658, 7.3658 and 9.0899 Å and the angles 90.00°, 90.00° and 120.00°. The inequivalent atoms are K at (0.0000, 0.0000, 0.0000), K at (0.3333, 0.6667, 0.6679), Ca at (0.0000, 0.0000, 0.5000), Ag at (0.3333, 0.6667, 0.1572), Cl at (0.0000, 0.5000, 0.0000) and Cl at (0.1690, 0.3381, 0.3247).

As for the uncorrected formation energy: -1994 kJ/mol of formula units.

---

2.
Here is a relaxed Mg2FePt crystal from the Alexandria database. Energies are from PBE-GGA.

The structure belongs to space group P4/mmm (No. 123); the cell edges are 4.0435, 4.0435 and 3.8178 Å and the angles 90.00°, 90.00° and 90.00°. The inequivalent atoms are Mg at (0.0000, 0.5000, 0.0000), Fe at (0.0000, 0.0000, 0.5000) and Pt at (0.5000, 0.5000, 0.5000).

Its calculated formation energy is -27 kJ per mole of atoms.

---

3.
Here is a relaxed Y2CuP4Ir3 crystal from the Alexandria database. Energies are from PBE-GGA.

The structure belongs to space group P-4m2 (No. 115); the cell edges are 4.1589, 4.1589 and 9.4636 Å and the angles 90.00°, 90.00° and 90.00°. The inequivalent atoms are Y at (0.0000, 0.5000, 0.2448), Cu at (0.0000, 0.0000, 0.5000), P at (0.0000, 0.0000, 0.0000), P at (0.0000, 0.5000, 0.6368), P at (0.5000, 0.5000, 0.0000), Ir at (0.0000, 0.5000, 0.8859) and Ir at (0.5000, 0.5000, 0.5000).

Its calculated formation energy is -86 kJ per mole of atoms.

---

4.
Here is a relaxed KSr2Ca2 crystal from the Alexandria database. Energies are from PBE-GGA.

The structure belongs to space group I4/mmm (No. 139); the cell edges are 5.0640, 5.0640 and 21.9725 Å and the angles 90.00°, 90.00° and 90.00°. The inequivalent atoms are K at (0.0000, 0.0000, 0.0000), Sr at (0.0000, 0.0000, 0.3938) and Ca at (0.0000, 0.5000, 0.2500).

Its calculated formation energy is 24 kJ per mole of atoms. The energy above the most stable polymorph in this dataset is 109 meV/atom.

---

5.
Here is a relaxed Tb2Nd5Ho2 crystal from the Alexandria database. Energies are from PBE-GGA.

The structure belongs to space group C2/m (No. 12); the cell edges are 15.3695, 5.1215 and 8.0963 Å and the angles 90.00°, 108.55° and 90.00°. The inequivalent atoms are Tb at (0.1094, 0.0000, 0.1649), Nd at (0.0000, 0.0000, 0.5000), Nd at (0.1661, 0.5000, 0.5009), Nd at (0.2224, 0.0000, 0.8355) and Ho at (0.0548, 0.5000, 0.8366).

Its calculated formation energy is 2 kJ per mole of atoms. The energy above the most stable polymorph in this dataset is 0 meV/atom.

---

6.
Here is a relaxed NaCo2P crystal from the Alexandria database. Energies are from PBE-GGA.

The structure belongs to space group I-42d (No. 122); the cell edges are 6.7479, 6.7479 and 5.4308 Å and the angles 90.00°, 90.00° and 90.00°. The inequivalent atoms are Na at (0.0000, 0.0000, 0.0000), Co at (0.1561, 0.2500, 0.6250) and P at (0.0000, 0.0000, 0.5000).

Its calculated formation energy is 24 kJ per mole of atoms.

---

7.
Here is a relaxed Rb3Hg9Pb2 crystal from the Alexandria database. Energies are from PBE-GGA.

The structure belongs to space group Immm (No. 71); the cell edges are 5.6463, 10.1852 and 16.1306 Å and the angles 90.00°, 90.00° and 90.00°. The inequivalent atoms are Rb at (0.0000, 0.0000, 0.0000), Rb at (0.0000, 0.0000, 0.2798), Hg at (0.0000, 0.2984, 0.1437), Hg at (0.0000, 0.3481, 0.3394), Hg at (0.0000, 0.5000, 0.0000) and Pb at (0.0000, 0.1625, 0.5000).

Its calculated formation energy is -17 kJ per mole of atoms.

---

8.
Here is a relaxed Tl12Sn3Bi5 crystal from the Alexandria database. Energies are from PBE-GGA.

The structure belongs to space group Ia-3d (No. 230); the cell edges are 18.2926, 18.2926 and 18.2926 Å and the angles 90.00°, 90.00° and 90.00°. The inequivalent atoms are Tl at (0.0167, 0.0808, 0.6527), Sn at (0.0000, 0.2500, 0.1250), Bi at (0.0000, 0.0000, 0.0000) and Bi at (0.0000, 0.2500, 0.3750).

Its calculated formation energy is 18 kJ per mole of atoms.

---

> Which formula does entry 7 have?

Rb3Hg9Pb2

---

> Number 7 is which compound?

Rb3Hg9Pb2